No. 1
Entry from Alexandria: a geometry-optimized VGaAg structure (PBE-GGA).

Values from the calculation:
total magnetization = 0.000 μB per formula unit
symmetry = C2/m, No. 12
crystal system = monoclinic
formation enthalpy at 0 K = -34 meV/atom

Cell lengths 2.8341, 2.8341, 13.0922 Å; angles 92.15, 92.15, 64.28 degrees
Last column: nearest neighbours and their distance in Å.
Sites, in units of the cell vectors:
V 0.2436 0.2436 0.4275  2 V 2.42, 3 Ga 2.69-2.71
V 0.7564 0.7564 0.5725  2 V 2.42, 3 Ga 2.69-2.71
Ga 0.1303 0.1303 0.7342  3 V 2.69-2.71, 3 Ag 2.81-2.83, 4 Ga 2.83
Ga 0.8697 0.8697 0.2658  3 V 2.69-2.71, 3 Ag 2.81-2.83, 4 Ga 2.83
Ag 0.2005 0.2005 0.0926  3 Ga 2.81-2.83, 9 Ag 2.83-3.03
Ag 0.7995 0.7995 0.9074  3 Ga 2.81-2.83, 9 Ag 2.83-3.03

No. 2
Entry from Alexandria: a geometry-optimized VGaAg structure (PBE-GGA).

Values from the calculation:
total magnetization = 0.001 μB per formula unit
symmetry = Fmmm, No. 69
crystal system = orthorhombic
formation enthalpy at 0 K = 274 meV/atom

Cell lengths 6.7989, 5.3612, 5.2004 Å; angles 80.13, 50.97, 48.90 degrees
Last column: nearest neighbours and their distance in Å.
Sites, in units of the cell vectors:
V 0.2500 0.2500 0.2500  2 V 2.19
V 0.7500 0.7500 0.7500  2 V 2.19
Ga 0.1687 0.1687 0.8313  2 Ga 2.70, 4 V 2.72
Ga 0.8313 0.8313 0.1687  2 Ga 2.70, 4 V 2.72
Ag 0.3507 0.6493 0.3507  3 Ag 2.82-2.90, 4 V 2.84, 4 Ga 3.08
Ag 0.6493 0.3507 0.6493  3 Ag 2.82-2.90, 4 V 2.84, 4 Ga 3.08

No. 3
Entry from Alexandria: a geometry-optimized VGa2Ag structure (PBE-GGA).

Values from the calculation:
total magnetization = 1.699 μB per formula unit
symmetry = I-42d, No. 122
crystal system = tetragonal
relative energy among the computed polymorphs = 35.2 kJ per mole of atoms
formation enthalpy at 0 K = 308 meV/atom

Cell lengths 5.7264, 5.7264, 5.7264 Å; angles 104.30, 104.30, 120.39 degrees
Last column: nearest neighbours and their distance in Å.
Sites, in units of the cell vectors:
V 0.0000 0.0000 0.0000  4 Ga 2.59, 2 Ag 2.85
V 0.7500 0.2500 0.5000  4 Ga 2.59, 2 Ag 2.85
Ga 0.1255 0.1250 0.5005  2 Ag 2.58, 2 V 2.59, 2 Ga 2.85
Ga 0.3750 0.8745 0.9995  2 Ag 2.58, 2 V 2.59, 2 Ga 2.85
Ga 0.6245 0.6250 0.4995  2 Ag 2.58, 2 V 2.59, 2 Ga 2.85
Ga 0.8750 0.3755 0.0005  2 Ag 2.58, 2 V 2.59, 2 Ga 2.85
Ag 0.2500 0.7500 0.5000  4 Ga 2.58, 2 V 2.85
Ag 0.5000 0.5000 0.0000  4 Ga 2.58, 2 V 2.85

No. 4
Entry from Alexandria: a geometry-optimized VGa2Ag structure (PBE-GGA).

Values from the calculation:
total magnetization = 0.748 μB per formula unit
symmetry = R3m, No. 160
crystal system = trigonal
relative energy among the computed polymorphs = 31.4 kJ per mole of atoms
formation enthalpy at 0 K = 268 meV/atom

Cell lengths 5.9237, 5.9237, 5.9237 Å; angles 38.15, 38.15, 38.15 degrees
Last column: nearest neighbours and their distance in Å.
Sites, in units of the cell vectors:
V 0.0000 0.0000 0.0000  6 Ga 2.52-2.64
Ga 0.4045 0.4045 0.4045  3 V 2.52, 3 Ag 2.63
Ga 0.5812 0.5812 0.5812  3 V 2.64, 3 Ag 2.71, 1 Ga 2.91
Ag 0.8216 0.8216 0.8216  6 Ga 2.63-2.71, 1 V 2.94

No. 5
Entry from Alexandria: a geometry-optimized ZrV2GaAg structure (PBE-GGA).

Values from the calculation:
total magnetization = 2.865 μB per formula unit
symmetry = P4/mmm, No. 123
crystal system = tetragonal
formation enthalpy at 0 K = 1520 meV/atom

Cell lengths 4.6905, 4.6905, 5.2625 Å; angles 90.00, 90.00, 90.00 degrees
Last column: nearest neighbours and their distance in Å.
Sites, in units of the cell vectors:
Zr 0.0000 0.0000 0.0000  4 V 2.35
V 0.0000 0.5000 0.0000  2 Zr 2.35
V 0.5000 0.0000 0.0000  2 Zr 2.35
Ga 0.5000 0.5000 0.5000  4 Ag 3.32, 8 V 3.52
Ag 0.0000 0.0000 0.5000  2 Zr 2.63

No. 6
Entry from Alexandria: a geometry-optimized GaAg3W structure (PBE-GGA).

Values from the calculation:
total magnetization = 0.000 μB per formula unit
symmetry = Pm-3m, No. 221
crystal system = cubic
relative energy among the computed polymorphs = 13.9 kJ per mole of atoms
formation enthalpy at 0 K = 1611 meV/atom

Cell lengths 5.1468, 5.1468, 5.1468 Å; angles 90.00, 90.00, 90.00 degrees
Last column: nearest neighbours and their distance in Å.
Sites, in units of the cell vectors:
Ga 0.0000 0.0000 0.0000  12 Ag 3.64
Ag 0.0000 0.5000 0.5000  2 W 2.57
Ag 0.5000 0.0000 0.5000  2 W 2.57
Ag 0.5000 0.5000 0.0000  2 W 2.57
W 0.5000 0.5000 0.5000  6 Ag 2.57

No. 7
Entry from Alexandria: a geometry-optimized GaAgW3 structure (PBE-GGA).

Values from the calculation:
total magnetization = 0.000 μB per formula unit
symmetry = Pm-3m, No. 221
crystal system = cubic
relative energy among the computed polymorphs = 84.0 kJ per mole of atoms
formation enthalpy at 0 K = 2813 meV/atom

Cell lengths 4.7869, 4.7869, 4.7869 Å; angles 90.00, 90.00, 90.00 degrees
Last column: nearest neighbours and their distance in Å.
Sites, in units of the cell vectors:
Ga 0.0000 0.0000 0.0000  12 W 3.38
Ag 0.5000 0.5000 0.5000  6 W 2.39
W 0.0000 0.5000 0.5000  2 Ag 2.39
W 0.5000 0.0000 0.5000  2 Ag 2.39
W 0.5000 0.5000 0.0000  2 Ag 2.39

No. 8
Entry from Alexandria: a geometry-optimized GaAgW2 structure (PBE-GGA).

Values from the calculation:
total magnetization = 0.000 μB per formula unit
symmetry = I-42d, No. 122
crystal system = tetragonal
formation enthalpy at 0 K = 1034 meV/atom

Cell lengths 5.7652, 5.7652, 5.7652 Å; angles 102.38, 102.38, 124.84 degrees
Last column: nearest neighbours and their distance in Å.
Sites, in units of the cell vectors:
Ga 0.0000 0.0000 0.0000  4 W 2.56, 2 Ag 2.67
Ga 0.7500 0.2500 0.5000  4 W 2.56, 2 Ag 2.67
Ag 0.2500 0.7500 0.5000  2 Ga 2.67, 4 W 2.72
Ag 0.5000 0.5000 0.0000  2 Ga 2.67, 4 W 2.72
W 0.1086 0.6250 0.9836  2 Ga 2.56, 2 W 2.68, 2 Ag 2.72
W 0.3750 0.3586 0.4836  2 Ga 2.56, 2 W 2.68, 2 Ag 2.72
W 0.6414 0.1250 0.0164  2 Ga 2.56, 2 W 2.68, 2 Ag 2.72
W 0.8750 0.8914 0.5164  2 Ga 2.56, 2 W 2.68, 2 Ag 2.72

No. 9
Entry from Alexandria: a geometry-optimized GaAgW3 structure (PBE-GGA).

Values from the calculation:
total magnetization = 0.000 μB per formula unit
symmetry = Pm-3m, No. 221
crystal system = cubic
relative energy among the computed polymorphs = 0.0 kJ per mole of atoms
formation enthalpy at 0 K = 1942 meV/atom

Cell lengths 4.5925, 4.5925, 4.5925 Å; angles 90.00, 90.00, 90.00 degrees
Last column: nearest neighbours and their distance in Å.
Sites, in units of the cell vectors:
Ga 0.0000 0.0000 0.0000  6 W 2.30
Ag 0.5000 0.5000 0.5000  12 W 3.25
W 0.0000 0.0000 0.5000  2 Ga 2.30
W 0.0000 0.5000 0.0000  2 Ga 2.30
W 0.5000 0.0000 0.0000  2 Ga 2.30

No. 10
Entry from Alexandria: a geometry-optimized GaAg3W structure (PBE-GGA).

Values from the calculation:
total magnetization = 0.001 μB per formula unit
symmetry = Pm-3m, No. 221
crystal system = cubic
relative energy among the computed polymorphs = 0.0 kJ per mole of atoms
formation enthalpy at 0 K = 1467 meV/atom

Cell lengths 4.6605, 4.6605, 4.6605 Å; angles 90.00, 90.00, 90.00 degrees
Last column: nearest neighbours and their distance in Å.
Sites, in units of the cell vectors:
Ga 0.0000 0.0000 0.0000  6 Ag 2.33
Ag 0.0000 0.0000 0.5000  2 Ga 2.33
Ag 0.0000 0.5000 0.0000  2 Ga 2.33
Ag 0.5000 0.0000 0.0000  2 Ga 2.33
W 0.5000 0.5000 0.5000  12 Ag 3.30

No. 11
Entry from Alexandria: a geometry-optimized Ga3AgW structure (PBE-GGA).

Values from the calculation:
total magnetization = 0.000 μB per formula unit
symmetry = Pm-3m, No. 221
crystal system = cubic
relative energy among the computed polymorphs = 0.0 kJ per mole of atoms
formation enthalpy at 0 K = 650 meV/atom

Cell lengths 4.9181, 4.9181, 4.9181 Å; angles 90.00, 90.00, 90.00 degrees
Last column: nearest neighbours and their distance in Å.
Sites, in units of the cell vectors:
Ga 0.0000 0.0000 0.5000  2 W 2.46
Ga 0.0000 0.5000 0.0000  2 W 2.46
Ga 0.5000 0.0000 0.0000  2 W 2.46
Ag 0.5000 0.5000 0.5000  12 Ga 3.48
W 0.0000 0.0000 0.0000  6 Ga 2.46

No. 12
Entry from Alexandria: a geometry-optimized Y6Ga2Ag structure (PBE-GGA).

Values from the calculation:
total magnetization = 0.000 μB per formula unit
symmetry = Immm, No. 71
crystal system = orthorhombic
relative energy among the computed polymorphs = 0.0 kJ per mole of atoms
formation enthalpy at 0 K = -374 meV/atom

Cell lengths 8.6068, 8.6068, 8.6068 Å; angles 111.80, 111.07, 105.61 degrees
Last column: nearest neighbours and their distance in Å.
Sites, in units of the cell vectors:
Y 0.0266 0.8236 0.2031  3 Ga 2.89-3.04
Y 0.2482 0.5524 0.3042  2 Ga 3.00-3.23, 2 Ag 3.20-3.23
Y 0.2482 0.9439 0.6958  2 Ga 3.00-3.23, 2 Ag 3.20-3.23
Y 0.2734 0.3207 0.5941  3 Ga 3.08-3.16, 1 Ag 3.18
Y 0.2734 0.6793 0.9528  3 Ga 3.08-3.16, 1 Ag 3.18
Y 0.3795 0.1764 0.2031  3 Ga 2.89-3.04
Y 0.6205 0.8236 0.7969  3 Ga 2.89-3.04
Y 0.7266 0.3207 0.0472  3 Ga 3.08-3.16, 1 Ag 3.18
Y 0.7266 0.6793 0.4059  3 Ga 3.08-3.16, 1 Ag 3.18
Y 0.7518 0.0561 0.3042  2 Ga 3.00-3.23, 2 Ag 3.20-3.23
Y 0.7518 0.4476 0.6958  2 Ga 3.00-3.23, 2 Ag 3.20-3.23
Y 0.9734 0.1764 0.7969  3 Ga 2.89-3.04
Ga 0.0000 0.1451 0.1451  1 Ga 2.80, 6 Y 3.00-3.04
Ga 0.0000 0.8549 0.8549  1 Ga 2.80, 6 Y 3.00-3.04
Ga 0.3784 0.3784 0.0000  1 Ga 2.53
Ga 0.6216 0.6216 0.0000  1 Ga 2.53
Ag 0.0000 0.5000 0.5000  8 Y 3.18-3.20, 2 Ga 3.42
Ag 0.5000 0.0000 0.5000  8 Y 3.23-3.43